Record 1
Here is crystalline ZrNiSe2 at its relaxed geometry from the Alexandria database. Energies are from PBE.

abc: 4.635 4.635 4.635
angles: 60.00 60.00 60.00
Positions (direct):
1 Se 0.750 0.750 0.750
2 Se 0.250 0.250 0.250
3 Ni 0.000 0.000 0.000
4 Zr 0.500 0.500 0.500

## Properties
- DFT total energy (eV per cell) = -23.3
- N(E_F) (states/eV per cell) = 1.702
- total magnetic moment (μB per atom) = 0.00
- space-group type = Fm-3m (225)

Record 2
Here is crystalline ZrNiSe at its relaxed geometry from the Alexandria database. Energies are from PBE.

abc: 4.408 4.408 4.408
angles: 60.00 60.00 60.00
Positions (direct):
1 Ni 0.000 0.000 0.000
2 Se 0.500 0.500 0.500
3 Zr 0.750 0.750 0.750

## Properties
- N(E_F) (states/eV per cell) = 1.881
- total magnetic moment (μB per atom) = 0.00
- ΔE to the lowest computed polymorph (eV/f.u.) = 1.40
- space-group type = F-43m (216)

Record 3
Here is crystalline ZrNiSe at its relaxed geometry from the Alexandria database. Energies are from PBE.

abc: 4.254 4.254 4.254
angles: 60.00 60.00 60.00
Positions (direct):
1 Se 0.000 0.000 0.000
2 Ni 0.750 0.750 0.750
3 Zr 0.500 0.500 0.500

## Properties
- N(E_F) (states/eV per cell) = 3.256
- total magnetic moment (μB per atom) = 0.00
- ΔE to the lowest computed polymorph (eV/f.u.) = 1.20
- space-group type = F-43m (216)

Record 4
Here is crystalline Zr2Ni2Se at its relaxed geometry from the Alexandria database. Energies are from PBE.

abc: 6.973 6.973 3.484
angles: 90.00 90.00 90.00
Positions (direct):
1 Zr 0.169 0.669 0.500
2 Zr 0.331 0.169 0.500
3 Zr 0.831 0.331 0.500
4 Zr 0.669 0.831 0.500
5 Se 0.000 0.000 0.000
6 Se 0.500 0.500 0.000
7 Ni 0.124 0.376 0.000
8 Ni 0.876 0.624 0.000
9 Ni 0.624 0.124 0.000
10 Ni 0.376 0.876 0.000

## Properties
- N(E_F) (states/eV per cell) = 8.297
- total magnetic moment (μB per atom) = 0.00
- ΔE to the lowest computed polymorph (eV/f.u.) = 0.19
- space-group type = P4/mbm (127)

Record 5
Here is crystalline ZrNiSe2 at its relaxed geometry from the Alexandria database. Energies are from PBE.

abc: 7.524 7.524 7.524
angles: 152.97 152.90 38.65
Positions (direct):
1 Se 0.014 0.014 0.000
2 Se 0.778 0.278 0.500
3 Ni 0.280 0.780 0.500
4 Zr 0.428 0.428 0.000

## Properties
- DFT total energy (eV per cell) = -24.7
- N(E_F) (states/eV per cell) = 1.146
- total magnetic moment (μB per atom) = 0.00
- space-group type = Imm2 (44)

Record 6
Here is crystalline Zr2NiSe4 at its relaxed geometry from the Alexandria database. Energies are from PBE.

abc: 3.728 6.441 7.154
angles: 116.85 105.13 90.00
Positions (direct):
1 Zr 0.748 0.743 0.495
2 Zr 0.252 0.257 0.505
3 Ni 0.000 0.000 0.000
4 Se 0.614 0.948 0.227
5 Se 0.887 0.557 0.774
6 Se 0.113 0.443 0.226
7 Se 0.386 0.052 0.773

## Properties
- DFT total energy (eV per cell) = -44.4
- N(E_F) (states/eV per cell) = 0.731
- total magnetic moment (μB per atom) = 0.00
- space-group type = C2/m (12)

Record 7
Here is crystalline ZrNi2Se2 at its relaxed geometry from the Alexandria database. Energies are from PBE.

abc: 7.052 7.052 3.223
angles: 90.00 90.00 90.00
Positions (direct):
1 Ni 0.864 0.364 0.500
2 Ni 0.136 0.636 0.500
3 Ni 0.636 0.864 0.500
4 Ni 0.364 0.136 0.500
5 Se 0.339 0.839 0.000
6 Se 0.839 0.661 0.000
7 Se 0.161 0.339 0.000
8 Se 0.661 0.161 0.000
9 Zr 0.000 0.000 0.000
10 Zr 0.500 0.500 0.000

## Properties
- N(E_F) (states/eV per cell) = 3.235
- total magnetic moment (μB per atom) = 0.00
- ΔE to the lowest computed polymorph (eV/f.u.) = 0.56
- space-group type = P4/mbm (127)

Record 8
Here is crystalline Zr4NiSe at its relaxed geometry from the Alexandria database. Energies are from PBE.

abc: 5.657 5.657 5.657
angles: 60.00 60.00 60.00
Positions (direct):
1 Zr 0.376 0.376 0.872
2 Zr 0.872 0.376 0.376
3 Zr 0.376 0.872 0.376
4 Zr 0.376 0.376 0.376
5 Ni 0.750 0.750 0.750
6 Se 0.000 0.000 0.000

## Properties
- DFT total energy (eV per cell) = -40.7
- N(E_F) (states/eV per cell) = 6.227
- total magnetic moment (μB per atom) = 0.00
- space-group type = F-43m (216)

Record 9
Here is crystalline ZrNiSe2 at its relaxed geometry from the Alexandria database. Energies are from PBE.

abc: 3.606 3.606 6.180
angles: 90.00 90.00 90.00
Positions (direct):
1 Zr 0.000 0.000 0.498
2 Se 0.000 0.000 0.902
3 Se 0.500 0.500 0.355
4 Ni 0.500 0.500 0.745

## Properties
- DFT total energy (eV per cell) = -24.4
- N(E_F) (states/eV per cell) = 1.885
- total magnetic moment (μB per atom) = 0.00
- space-group type = P4mm (99)

Record 10
Here is crystalline ZrNiSe2 at its relaxed geometry from the Alexandria database. Energies are from PBE.

abc: 8.105 8.105 8.105
angles: 26.54 26.54 26.54
Site moments in Bohr magnetons follow the coordinates.
Positions (direct):
1 Se 0.096 0.096 0.096  0.00
2 Se 0.904 0.904 0.904  0.00
3 Ni 0.000 0.000 0.000  0.51
4 Zr 0.500 0.500 0.500  -0.07

## Properties
- DFT total energy (eV per cell) = -23.6
- N(E_F) (states/eV per cell) = 6.211
- total magnetic moment (μB per atom) = 0.10
- space-group type = R-3m (166)

Record 11
Here is crystalline ZrNiSe2 at its relaxed geometry from the Alexandria database. Energies are from PBE.

abc: 3.321 3.321 6.378
angles: 90.00 90.00 90.00
Positions (direct):
1 Zr 0.500 0.500 0.250
2 Ni 0.500 0.500 0.750
3 Se 0.000 0.000 0.503
4 Se 0.000 0.000 0.997

## Properties
- DFT total energy (eV per cell) = -23.2
- N(E_F) (states/eV per cell) = 4.652
- total magnetic moment (μB per atom) = 0.00
- space-group type = P4/mmm (123)

Record 12
Here is crystalline ZrNiSe at its relaxed geometry from the Alexandria database. Energies are from PBE.

abc: 4.013 4.013 9.863
angles: 78.26 78.26 60.00
Positions (direct):
1 Ni 0.174 0.174 0.478
2 Ni 0.826 0.826 0.522
3 Se 0.272 0.272 0.183
4 Se 0.728 0.728 0.817
5 Zr 0.557 0.557 0.329
6 Zr 0.443 0.443 0.671

## Properties
- N(E_F) (states/eV per cell) = 5.618
- total magnetic moment (μB per atom) = 0.00
- ΔE to the lowest computed polymorph (eV/f.u.) = 0.00
- space-group type = R-3m (166)